No. 1
The following is a DFT calculation (PBE) of crystalline MnHW2 at its relaxed geometry.

Results
ρ (Mg/m³): 14.45
Offset from the most stable computed form (kJ/mol of atoms): 23.6

```
data_MnHW2
_chemical_formula_sum 'Mn3 H3 W6'
_space_group_name_H-M_alt 'R -3 m'
_space_group_IT_number 166
_space_group_name_Hall '-R 3 2"'
_cell_length_a 2.7762
_cell_length_b 2.7762
_cell_length_c 21.8780
_cell_angle_alpha 90.00
_cell_angle_beta 90.00
_cell_angle_gamma 120.00
loop_
_atom_site_label
_atom_site_type_symbol
_atom_site_fract_x
_atom_site_fract_y
_atom_site_fract_z
Mn1 Mn 0.0000 0.0000 0.0000
H1 H 0.0000 0.0000 0.5000
W1 W 0.0000 0.0000 0.1062
```



No. 2
The following is a DFT calculation (PBE) of crystalline BaCo2Os at its relaxed geometry.

Results
ρ (Mg/m³): 10.10
Energy relative to the elements (eV/atom): 0.75
Offset from the most stable computed form (kJ/mol of atoms): 43.2

```
data_BaCo2Os
_chemical_formula_sum 'Ba1 Co2 Os1'
_space_group_name_H-M_alt 'P 4 m m'
_space_group_IT_number 99
_cell_length_a 3.104
_cell_length_b 3.104
_cell_length_c 7.598
_cell_angle_alpha 90.00
_cell_angle_beta 90.00
_cell_angle_gamma 90.00
loop_
_space_group_symop_operation_xyz
'x,y,z'
'-y,x,z'
'-x,-y,z'
'y,-x,z'
'-x,y,z'
'y,x,z'
'x,-y,z'
'-y,-x,z'
loop_
_atom_site_label
_atom_site_type_symbol
_atom_site_fract_x
_atom_site_fract_y
_atom_site_fract_z
Ba1 Ba 0.000 0.000 0.000
Co1 Co 0.000 0.000 0.492
Co2 Co 0.500 0.500 0.340
Os1 Os 0.500 0.500 0.657
```



No. 3
The following is a DFT calculation (PBE) of crystalline Dy6ZnCo at its relaxed geometry.

Results
ρ (Mg/m³): 8.73
Energy relative to the elements (eV/atom): -0.08

```
data_Dy6ZnCo
_chemical_formula_sum 'Dy12 Zn2 Co2'
_space_group_name_H-M_alt 'I 4/m m m'
_space_group_IT_number 139
_space_group_name_Hall '-I 4 2'
_cell_length_a 4.939
_cell_length_b 4.939
_cell_length_c 17.146
_cell_angle_alpha 90.00
_cell_angle_beta 90.00
_cell_angle_gamma 90.00
loop_
_atom_site_label
_atom_site_type_symbol
_atom_site_fract_x
_atom_site_fract_y
_atom_site_fract_z
Dy1 Dy 0.000 0.000 0.248
Dy2 Dy 0.000 0.500 0.097
Zn1 Zn 0.000 0.000 0.000
Co1 Co 0.000 0.000 0.500
```



No. 4
The following is a DFT calculation (PBE) of crystalline BRh3F at its relaxed geometry.

Results
ρ (Mg/m³): 8.19
ΔE_f (raw) (eV/atom): 0.2470
Offset from the most stable computed form (kJ/mol of atoms): 0.0

```
data_BRh3F
_chemical_formula_sum 'B1 Rh3 F1'
_space_group_name_H-M_alt 'P m -3 m'
_space_group_IT_number 221
_space_group_name_Hall '-P 4 2 3'
_cell_length_a 4.095
_cell_length_b 4.095
_cell_length_c 4.095
_cell_angle_alpha 90.00
_cell_angle_beta 90.00
_cell_angle_gamma 90.00
loop_
_atom_site_label
_atom_site_type_symbol
_atom_site_fract_x
_atom_site_fract_y
_atom_site_fract_z
B1 B 0.000 0.000 0.000
Rh1 Rh 0.000 0.000 0.500
F1 F 0.500 0.500 0.500
```



No. 5
The following is a DFT calculation (PBE) of crystalline Rb2NpCdCl6 at its relaxed geometry.

Results
ρ (Mg/m³): 3.18
ΔE_f (raw) (eV/atom): -1.5499

```
data_Rb2NpCdCl6
_chemical_formula_sum 'Rb4 Np2 Cd2 Cl12'
_space_group_name_H-M_alt 'P m m n'
_space_group_IT_number 59
_cell_length_a 8.606
_cell_length_b 11.545
_cell_length_c 7.711
_cell_angle_alpha 90.00
_cell_angle_beta 90.00
_cell_angle_gamma 90.00
loop_
_space_group_symop_operation_xyz
'x,y,z'
'-x,-y,-z'
'-x+1/2,-y+1/2,z'
'x+1/2,y+1/2,-z'
'x+1/2,-y,-z'
'-x+1/2,y,z'
'-x,y+1/2,-z'
'x,-y+1/2,z'
loop_
_atom_site_label
_atom_site_type_symbol
_atom_site_fract_x
_atom_site_fract_y
_atom_site_fract_z
Rb1 Rb 0.250 0.045 0.240
Np1 Np 0.250 0.250 0.736
Cd1 Cd 0.250 0.750 0.762
Cl1 Cl 0.036 0.250 0.986
Cl2 Cl 0.038 0.250 0.484
Cl3 Cl 0.250 0.019 0.737
```



No. 6
The following is a DFT calculation (PBE) of crystalline In2MoW at its relaxed geometry.

Results
ρ (Mg/m³): 11.47
Energy relative to the elements (eV/atom): 0.58
Offset from the most stable computed form (kJ/mol of atoms): 27.2

```
data_In2MoW
_chemical_formula_sum 'In4 Mo2 W2'
_space_group_name_H-M_alt 'C 1 2/m 1'
_space_group_IT_number 12
_cell_length_a 5.798
_cell_length_b 9.277
_cell_length_c 2.883
_cell_angle_alpha 90.00
_cell_angle_beta 107.92
_cell_angle_gamma 90.00
loop_
_space_group_symop_operation_xyz
'x,y,z'
'-x,-y,-z'
'-x,y,-z'
'x,-y,z'
'x+1/2,y+1/2,z'
'-x+1/2,-y+1/2,-z'
'-x+1/2,y+1/2,-z'
'x+1/2,-y+1/2,z'
loop_
_atom_site_label
_atom_site_type_symbol
_atom_site_fract_x
_atom_site_fract_y
_atom_site_fract_z
In1 In 0.250 0.250 0.000
Mo1 Mo 0.000 0.000 0.500
W1 W 0.000 0.500 0.500
```